[1]
An optimized crystal structure of Ac2YSc, computed with PBE.

```
Ac2YSc
1.0
3.9326 0.0000 0.0000
0.0000 3.9326 0.0000
0.0000 0.0000 9.2937
Ac Y Sc
2 1 1
direct
0.0000 0.0000 0.2353
0.0000 0.0000 0.7647
0.5000 0.5000 0.5000
0.5000 0.5000 0.0000
```


[2]
An optimized crystal structure of AcY2Sc, computed with PBE.

```
AcY2Sc
1.0
0.0000 4.0539 4.0539
4.0539 0.0000 4.0539
4.0539 4.0539 0.0000
Ac Y Sc
1 2 1
direct
0.0000 0.0000 0.0000
0.2500 0.2500 0.2500
0.7500 0.7500 0.7500
0.5000 0.5000 0.5000
```


[3]
An optimized crystal structure of AcYSc2, computed with PBE.

```
AcYSc2
1.0
5.2692 0.0000 0.0000
0.0000 5.2692 0.0000
0.0000 0.0000 4.4162
Ac Y Sc
1 1 2
direct
0.0000 0.0000 0.0000
0.5000 0.5000 0.0000
0.0000 0.5000 0.5000
0.5000 0.0000 0.5000
```


[4]
An optimized crystal structure of AcYSc2, computed with PBE.

```
AcYSc2
1.0
1.8007 1.0396 11.0464
-1.8007 1.0396 11.0464
0.0000 -2.0793 11.0464
Ac Y Sc
1 1 2
direct
0.0000 0.0000 0.0000
0.8333 0.8333 0.8333
0.4198 0.4198 0.4198
0.5804 0.5804 0.5804
```


[5]
An optimized crystal structure of AcY2Sc, computed with PBE.

```
AcY2Sc
1.0
1.8243 1.0533 11.5267
-1.8243 1.0533 11.5267
0.0000 -2.1066 11.5267
Ac Y Sc
1 2 1
direct
0.0000 0.0000 0.0000
0.5760 0.5760 0.5760
0.7563 0.7563 0.7563
0.1656 0.1656 0.1656
```


[6]
An optimized crystal structure of AcScZn2, computed with PBE.

```
AcScZn2
1.0
5.1879 0.0000 0.0000
0.0000 5.1879 0.0000
0.0000 0.0000 3.6608
Ac Sc Zn
1 1 2
direct
0.0000 0.0000 0.0000
0.5000 0.5000 0.0000
0.0000 0.5000 0.5000
0.5000 0.0000 0.5000
```


[7]
An optimized crystal structure of AcScZn, computed with PBE.

```
AcScZn
1.0
-1.8464 1.8464 6.0826
1.8464 -1.8464 6.0826
1.8464 1.8464 -6.0826
Ac Sc Zn
1 1 1
direct
0.0000 0.0000 0.0000
0.2875 0.2875 0.0000
0.6880 0.6880 0.0000
```


[8]
An optimized crystal structure of AcScZn2, computed with PBE.

```
AcScZn2
1.0
3.6018 0.0000 0.0000
0.0000 3.6018 0.0000
0.0000 0.0000 7.3834
Ac Sc Zn
1 1 2
direct
0.0000 0.0000 0.0000
0.0000 0.0000 0.5000
0.5000 0.5000 0.3077
0.5000 0.5000 0.6923
```


[9]
An optimized crystal structure of Ac2ScZn9, computed with PBE.

```
Ac2ScZn9
1.0
2.7945 1.6134 8.9431
-2.7945 1.6134 8.9431
0.0000 -3.2268 8.9431
Ac Sc Zn
2 1 9
direct
0.1387 0.1387 0.1387
0.8613 0.8613 0.8613
0.0000 0.0000 0.0000
0.0729 0.5775 0.5775
0.3345 0.3345 0.3345
0.4225 0.4225 0.9271
0.4225 0.9271 0.4225
0.5000 0.5000 0.5000
0.5775 0.0729 0.5775
0.5775 0.5775 0.0729
0.6655 0.6655 0.6655
0.9271 0.4225 0.4225
```


[10]
An optimized crystal structure of AcScZn2, computed with PBE.

```
AcScZn2
1.0
1.8504 1.0683 8.8429
-1.8504 1.0683 8.8429
0.0000 -2.1366 8.8429
Ac Sc Zn
1 1 2
direct
0.0000 0.0000 0.0000
0.5000 0.5000 0.5000
0.2379 0.2379 0.2379
0.7621 0.7621 0.7621
```


[11]
An optimized crystal structure of AcScZn2, computed with PBE.

```
AcScZn2
1.0
0.0000 3.6730 3.6730
3.6730 0.0000 3.6730
3.6730 3.6730 0.0000
Ac Sc Zn
1 1 2
direct
0.0000 0.0000 0.0000
0.5000 0.5000 0.5000
0.2500 0.2500 0.2500
0.7500 0.7500 0.7500
```


[12]
An optimized crystal structure of AcScZn4, computed with PBE.

```
AcScZn4
1.0
0.0000 3.9321 3.9321
3.9321 0.0000 3.9321
3.9321 3.9321 0.0000
Ac Sc Zn
1 1 4
direct
0.0000 0.0000 0.0000
0.2500 0.2500 0.2500
0.1309 0.6230 0.6230
0.6230 0.1309 0.6230
0.6230 0.6230 0.1309
0.6230 0.6230 0.6230
```


[13]
An optimized crystal structure of AcZr2Sc, computed with PBE.

```
AcZr2Sc
1.0
1.7098 0.9872 10.7945
-1.7098 0.9872 10.7945
0.0000 -1.9744 10.7945
Ac Zr Sc
1 2 1
direct
0.0000 0.0000 0.0000
0.2453 0.2453 0.2453
0.7547 0.7547 0.7547
0.5000 0.5000 0.5000
```


Formation energy from the elements per entry: 0.071, 0.176, 0.104, 0.127, 0.104, -0.138, -0.108, -0.246, -0.164, -0.007, -0.184, -0.236, 0.286 eV/atom